Material: Ac2Nd3In4
Method: DFT, PBE
State: optimized geometry

Unit cell a=8.312 b=8.745 c=8.787 alpha=90.00 beta=90.00 gamma=107.27
Sites, in units of the cell vectors:
In 0.863 0.081 0.537
In 0.363 0.081 0.963
In 0.637 0.919 0.037
In 0.374 0.497 0.376
In 0.626 0.503 0.624
In 0.874 0.497 0.124
In 0.126 0.503 0.876
In 0.137 0.919 0.463
Nd 0.750 0.757 0.329
Nd 0.250 0.757 0.171
Nd 0.250 0.243 0.671
Nd 0.500 0.500 0.000
Nd 0.750 0.243 0.829
Nd 0.000 0.500 0.500
Ac 0.065 0.187 0.179
Ac 0.435 0.813 0.679
Ac 0.565 0.187 0.321
Ac 0.935 0.813 0.821

E above lowest polymorph = 0.00 eV/f.u.
Symmetry = P2_1/c (14)
Theoretical density = 7.3 g cm⁻³
Formation enthalpy at 0 K = -3.84 eV/f.u.


Material: Er3Mg4Pt4
Method: DFT, PBE
State: optimized geometry

Unit cell a=3.810 b=8.026 c=8.698 alpha=117.48 beta=102.65 gamma=90.00
Sites, in units of the cell vectors:
Pt 0.757 0.257 0.514
Pt 0.500 0.206 0.000
Pt 0.243 0.743 0.486
Pt 0.500 0.794 0.000
Mg 0.672 0.863 0.344
Mg 0.328 0.137 0.656
Mg 0.328 0.519 0.656
Mg 0.672 0.481 0.344
Er 0.000 0.500 0.000
Er 0.890 0.890 0.779
Er 0.110 0.110 0.221

Symmetry = Immm (71)
Theoretical density = 10.0 g cm⁻³
Formation enthalpy at 0 K = -10.20 eV/f.u.


Material: ErB5
Method: DFT, PBE
State: optimized geometry

Unit cell a=3.069 b=5.462 c=4.631 alpha=126.14 beta=90.00 gamma=90.00
Sites, in units of the cell vectors:
B 0.000 0.374 0.747
B 0.000 0.626 0.253
B 0.500 0.725 0.450
B 0.500 0.275 0.550
B 0.500 0.500 0.000
Er 0.000 0.000 0.000

Symmetry = Cmmm (65)
Theoretical density = 5.9 g cm⁻³
Formation enthalpy at 0 K = 0.90 eV/f.u.


no.,total magnetization (μB/atom)
1,0.0000
2,0.0000
3,0.0000